[1]
VASP calculation (GGA-PBE) on a geometry-optimized NdGaNiH2 structure.

SG = No. 63
Total energy = -4.550 eV per atom
Total magnetic moment = 0.0 μB/f.u.

Geometry as POSCAR:
```
NdGaNiH2
1.0
-3.238 1.199 -1.776
1.600 -5.113 -2.125
-3.326 -2.780 4.187
Ga H Nd Ni
2 4 2 2
direct
0.428 0.856 0.750
0.572 0.144 0.250
0.852 0.704 0.458
0.148 0.296 0.958
0.852 0.704 0.042
0.148 0.296 0.542
0.297 0.595 0.250
0.703 0.405 0.750
0.000 0.000 0.000
0.000 0.000 0.500
```

=====

[2]
VASP calculation (GGA-PBE) on a geometry-optimized NdGaNi2H structure.

SG = No. 63
Total energy = -5.042 eV per atom
Total magnetic moment = 0.0 μB/f.u.

Geometry as POSCAR:
```
NdGaNi2H
1.0
-0.038 3.220 2.109
-5.220 -1.513 -1.297
-0.342 -3.833 5.847
H Ga Ni Nd
2 2 4 2
direct
0.000 0.000 0.500
0.000 0.000 0.000
0.718 0.436 0.750
0.282 0.564 0.250
0.840 0.681 0.057
0.160 0.319 0.557
0.840 0.681 0.443
0.160 0.319 0.943
0.565 0.130 0.250
0.435 0.870 0.750
```

=====

[3]
VASP calculation (GGA-PBE) on a geometry-optimized NdGaH2O4 structure.

SG = No. 23
Total energy = -6.207 eV per atom
Total magnetic moment = 0.0 μB/f.u.

Geometry as POSCAR:
```
NdGaH2O4
1.0
-3.515 2.929 0.119
-4.404 -1.672 -0.900
-2.554 0.347 4.044
O Ga H Nd
4 1 2 1
direct
0.968 0.450 0.182
0.601 0.550 0.818
0.399 0.182 0.450
0.032 0.818 0.550
0.500 0.500 0.500
0.824 0.676 0.676
0.176 0.324 0.324
0.000 0.000 0.000
```

=====

[4]
VASP calculation (GGA-PBE) on a geometry-optimized Nd2GaHPd6 structure.

SG = No. 2
Total energy = -5.405 eV per atom
Total magnetic moment = 0.0 μB/f.u.

Geometry as POSCAR:
```
Nd2GaHPd6
1.0
-2.034 -6.522 1.054
3.047 -1.698 -4.596
3.694 -5.762 0.946
H Nd Pd Ga
1 2 6 1
direct
0.500 0.500 0.000
0.273 0.726 0.547
0.727 0.274 0.453
0.770 0.729 0.541
0.728 0.767 0.962
0.230 0.271 0.459
0.272 0.233 0.038
0.728 0.270 0.962
0.272 0.730 0.038
0.000 0.000 0.000
```

=====

[5]
VASP calculation (GGA-PBE) on a geometry-optimized Nd2GaHPt6 structure.

SG = No. 166
Total energy = -6.018 eV per atom
Total magnetic moment = 0.0 μB/f.u.

Geometry as POSCAR:
```
Nd2GaHPt6
1.0
-5.311 -1.654 -1.352
-0.720 -2.884 6.358
-4.705 1.030 5.104
Pt Nd H Ga
6 2 1 1
direct
0.769 0.727 0.462
0.273 0.231 0.958
0.231 0.273 0.538
0.231 0.769 0.043
0.727 0.769 0.042
0.769 0.231 0.957
0.783 0.217 0.435
0.217 0.783 0.565
0.000 0.000 0.000
0.500 0.500 0.000
```

=====

[6]
VASP calculation (GGA-PBE) on a geometry-optimized NdGaHPt2 structure.

SG = No. 63
Total energy = -5.505 eV per atom
Total magnetic moment = 0.0 μB/f.u.

Geometry as POSCAR:
```
NdGaHPt2
1.0
-3.649 0.497 1.427
1.788 -5.484 1.017
2.862 2.151 6.569
H Pt Nd Ga
2 4 2 2
direct
0.000 0.000 0.000
0.000 0.000 0.500
0.156 0.312 0.556
0.844 0.688 0.056
0.844 0.688 0.444
0.156 0.312 0.944
0.555 0.109 0.250
0.445 0.891 0.750
0.729 0.459 0.750
0.271 0.541 0.250
```